(a)
DFT (GGA-PBE) results for an optimized crystal structure of Cr5P.

Computed properties:
D(E_F)   6.63 states/eV/cell

Structure (CIF):
```
data_Cr5P
_chemical_formula_sum 'Cr10 P2'
_cell_length_a 8.836
_cell_length_b 2.916
_cell_length_c 5.586
_cell_angle_alpha 90.00
_cell_angle_beta 109.14
_cell_angle_gamma 90.00
_symmetry_space_group_name_H-M 'C 1 2/m 1'
_symmetry_Int_Tables_number 12
_symmetry_space_group_name_Hall '-C 2y'
loop_
_atom_site_label
_atom_site_type_symbol
_atom_site_fract_x
_atom_site_fract_y
_atom_site_fract_z
_atom_site_occupancy
Cr1 Cr 0.000 0.000 0.000 1
Cr2 Cr 0.165 0.500 0.832 1
Cr3 Cr 0.171 0.500 0.336 1
P1 P 0.000 0.000 0.500 1
```



(b)
DFT (GGA-PBE) results for an optimized crystal structure of Cr5P.

Computed properties:
D(E_F)   28.79 states/eV/cell

Structure (CIF):
```
data_Cr5P
_chemical_formula_sum 'Cr20 P4'
_cell_length_a 6.601
_cell_length_b 6.601
_cell_length_c 6.601
_cell_angle_alpha 90.00
_cell_angle_beta 90.00
_cell_angle_gamma 90.00
_symmetry_space_group_name_H-M 'F -4 3 m'
_symmetry_Int_Tables_number 216
_symmetry_space_group_name_Hall 'F -4 2 3'
loop_
_atom_site_label
_atom_site_type_symbol
_atom_site_fract_x
_atom_site_fract_y
_atom_site_fract_z
_atom_site_occupancy
Cr1 Cr 0.000 0.000 0.000 1
Cr2 Cr 0.124 0.124 0.624 1
P1 P 0.250 0.250 0.250 1
```



(c)
DFT (GGA-PBE) results for an optimized crystal structure of Cr5P.

Computed properties:
D(E_F)   4.55 states/eV/cell

Structure (CIF):
```
data_Cr5P
_chemical_formula_sum 'Cr5 P1'
_cell_length_a 2.891
_cell_length_b 2.891
_cell_length_c 8.199
_cell_angle_alpha 90.00
_cell_angle_beta 90.00
_cell_angle_gamma 90.00
_symmetry_space_group_name_H-M 'P 4/m m m'
_symmetry_Int_Tables_number 123
_symmetry_space_group_name_Hall '-P 4 2'
loop_
_atom_site_label
_atom_site_type_symbol
_atom_site_fract_x
_atom_site_fract_y
_atom_site_fract_z
_atom_site_occupancy
Cr1 Cr 0.000 0.000 0.000 1
Cr2 Cr 0.000 0.000 0.340 1
Cr3 Cr 0.500 0.500 0.170 1
P1 P 0.500 0.500 0.500 1
```



Last place for stability: (b)



(a)
DFT (GGA-PBE) results for an optimized crystal structure of Cr5P.

Computed properties:
D(E_F)   3.32 states/eV/cell

Structure (CIF):
```
data_Cr5P
_chemical_formula_sum 'Cr5 P1'
_cell_length_a 4.4509
_cell_length_b 4.4509
_cell_length_c 4.4334
_cell_angle_alpha 90.00
_cell_angle_beta 90.00
_cell_angle_gamma 120.00
_symmetry_space_group_name_H-M 'P 6/m m m'
_symmetry_Int_Tables_number 191
_symmetry_space_group_name_Hall '-P 6 2'
loop_
_atom_site_label
_atom_site_type_symbol
_atom_site_fract_x
_atom_site_fract_y
_atom_site_fract_z
_atom_site_occupancy
Cr1 Cr 0.0000 0.5000 0.0000 1
Cr2 Cr 0.3333 0.6667 0.5000 1
P1 P 0.0000 0.0000 0.5000 1
```



(b)
DFT (GGA-PBE) results for an optimized crystal structure of Cr5P.

Computed properties:
D(E_F)   9.35 states/eV/cell

Structure (CIF):
```
data_Cr5P
_chemical_formula_sum 'Cr10 P2'
_cell_length_a 2.910
_cell_length_b 11.910
_cell_length_c 3.917
_cell_angle_alpha 90.00
_cell_angle_beta 90.00
_cell_angle_gamma 90.00
_symmetry_space_group_name_H-M 'C m m m'
_symmetry_Int_Tables_number 65
_symmetry_space_group_name_Hall '-C 2 2'
loop_
_atom_site_label
_atom_site_type_symbol
_atom_site_fract_x
_atom_site_fract_y
_atom_site_fract_z
_atom_site_occupancy
Cr1 Cr 0.000 0.000 0.000 1
Cr2 Cr 0.000 0.167 0.500 1
Cr3 Cr 0.000 0.336 0.000 1
P1 P 0.000 0.500 0.500 1
```



Last place for stability: (a)



(a)
DFT (GGA-PBE) results for an optimized crystal structure of CrP5.

Computed properties:
D(E_F)   17.46 states/eV/cell

Structure (CIF):
```
data_CrP5
_chemical_formula_sum 'Cr4 P20'
_cell_length_a 7.114
_cell_length_b 7.114
_cell_length_c 7.114
_cell_angle_alpha 90.00
_cell_angle_beta 90.00
_cell_angle_gamma 90.00
_symmetry_space_group_name_H-M 'F -4 3 m'
_symmetry_Int_Tables_number 216
_symmetry_space_group_name_Hall 'F -4 2 3'
loop_
_atom_site_label
_atom_site_type_symbol
_atom_site_fract_x
_atom_site_fract_y
_atom_site_fract_z
_atom_site_occupancy
Cr1 Cr 0.000 0.000 0.000 1
P1 P 0.123 0.123 0.377 1
P2 P 0.250 0.250 0.750 1
```



(b)
DFT (GGA-PBE) results for an optimized crystal structure of CrP5.

Computed properties:
D(E_F)   3.63 states/eV/cell

Structure (CIF):
```
data_CrP5
_chemical_formula_sum 'Cr1 P5'
_cell_length_a 4.5944
_cell_length_b 4.5944
_cell_length_c 4.6525
_cell_angle_alpha 90.00
_cell_angle_beta 90.00
_cell_angle_gamma 120.00
_symmetry_space_group_name_H-M 'P -6 2 m'
_symmetry_Int_Tables_number 189
_symmetry_space_group_name_Hall 'P -6 -2'
loop_
_atom_site_label
_atom_site_type_symbol
_atom_site_fract_x
_atom_site_fract_y
_atom_site_fract_z
_atom_site_occupancy
Cr1 Cr 0.0000 0.0000 0.0000 1
P1 P 0.0000 0.7189 0.5000 1
P2 P 0.3333 0.6667 0.0000 1
```



Last place for stability: (a)



(a)
DFT (GGA-PBE) results for an optimized crystal structure of Cr2PPb.

Computed properties:
D(E_F)   5.30 states/eV/cell

Structure (CIF):
```
data_Cr2PPb
_chemical_formula_sum 'Cr4 P2 Pb2'
_cell_length_a 4.310
_cell_length_b 3.220
_cell_length_c 10.067
_cell_angle_alpha 90.00
_cell_angle_beta 90.00
_cell_angle_gamma 90.00
_symmetry_space_group_name_H-M 'A m m 2'
_symmetry_Int_Tables_number 38
_symmetry_space_group_name_Hall 'A 2 -2'
loop_
_atom_site_label
_atom_site_type_symbol
_atom_site_fract_x
_atom_site_fract_y
_atom_site_fract_z
_atom_site_occupancy
Cr1 Cr 0.000 0.000 0.000 1
Cr2 Cr 0.500 0.000 0.383 1
P1 P 0.500 0.000 0.052 1
Pb1 Pb 0.000 0.000 0.734 1
```



(b)
DFT (GGA-PBE) results for an optimized crystal structure of Cr2PPb.

Computed properties:
D(E_F)   5.31 states/eV/cell

Structure (CIF):
```
data_Cr2PPb
_chemical_formula_sum 'Cr4 P2 Pb2'
_cell_length_a 3.055
_cell_length_b 3.254
_cell_length_c 13.369
_cell_angle_alpha 90.00
_cell_angle_beta 90.00
_cell_angle_gamma 90.00
_symmetry_space_group_name_H-M 'I m m 2'
_symmetry_Int_Tables_number 44
_symmetry_space_group_name_Hall 'I 2 -2'
loop_
_atom_site_label
_atom_site_type_symbol
_atom_site_fract_x
_atom_site_fract_y
_atom_site_fract_z
_atom_site_occupancy
Cr1 Cr 0.000 0.000 0.000 1
Cr2 Cr 0.000 0.500 0.325 1
P1 P 0.000 0.500 0.879 1
Pb1 Pb 0.000 0.000 0.643 1
```



(c)
DFT (GGA-PBE) results for an optimized crystal structure of Cr2PPb.

Computed properties:
D(E_F)   7.90 states/eV/cell

Structure (CIF):
```
data_Cr2PPb
_chemical_formula_sum 'Cr6 P3 Pb3'
_cell_length_a 3.4971
_cell_length_b 3.4971
_cell_length_c 20.0177
_cell_angle_alpha 90.00
_cell_angle_beta 90.00
_cell_angle_gamma 120.00
_symmetry_space_group_name_H-M 'R 3 m'
_symmetry_Int_Tables_number 160
_symmetry_space_group_name_Hall 'R 3 -2"'
loop_
_atom_site_label
_atom_site_type_symbol
_atom_site_fract_x
_atom_site_fract_y
_atom_site_fract_z
_atom_site_occupancy
Cr1 Cr 0.0000 0.0000 0.0000 1
Cr2 Cr 0.0000 0.0000 0.2221 1
P1 P 0.0000 0.0000 0.6099 1
Pb1 Pb 0.0000 0.0000 0.7777 1
```



(d)
DFT (GGA-PBE) results for an optimized crystal structure of Cr2PPb.

Computed properties:
D(E_F)   18.96 states/eV/cell

Structure (CIF):
```
data_Cr2PPb
_chemical_formula_sum 'Cr8 P4 Pb4'
_cell_length_a 6.268
_cell_length_b 6.268
_cell_length_c 6.268
_cell_angle_alpha 90.00
_cell_angle_beta 90.00
_cell_angle_gamma 90.00
_symmetry_space_group_name_H-M 'F m -3 m'
_symmetry_Int_Tables_number 225
_symmetry_space_group_name_Hall '-F 4 2 3'
loop_
_atom_site_label
_atom_site_type_symbol
_atom_site_fract_x
_atom_site_fract_y
_atom_site_fract_z
_atom_site_occupancy
Cr1 Cr 0.250 0.250 0.250 1
P1 P 0.000 0.000 0.000 1
Pb1 Pb 0.000 0.000 0.500 1
```



Last place for stability: (d)



(a)
DFT (GGA-PBE) results for an optimized crystal structure of Cr2PPb.

Computed properties:
D(E_F)   4.89 states/eV/cell

Structure (CIF):
```
data_Cr2PPb
_chemical_formula_sum 'Cr4 P2 Pb2'
_cell_length_a 3.391
_cell_length_b 5.358
_cell_length_c 7.626
_cell_angle_alpha 90.00
_cell_angle_beta 90.00
_cell_angle_gamma 90.00
_symmetry_space_group_name_H-M 'I m m m'
_symmetry_Int_Tables_number 71
_symmetry_space_group_name_Hall '-I 2 2'
loop_
_atom_site_label
_atom_site_type_symbol
_atom_site_fract_x
_atom_site_fract_y
_atom_site_fract_z
_atom_site_occupancy
Cr1 Cr 0.000 0.000 0.196 1
P1 P 0.000 0.500 0.500 1
Pb1 Pb 0.000 0.500 0.000 1
```



(b)
DFT (GGA-PBE) results for an optimized crystal structure of Cr2PPb.

Computed properties:
D(E_F)   5.05 states/eV/cell

Structure (CIF):
```
data_Cr2PPb
_chemical_formula_sum 'Cr6 P3 Pb3'
_cell_length_a 3.4911
_cell_length_b 3.4911
_cell_length_c 20.5161
_cell_angle_alpha 90.00
_cell_angle_beta 90.00
_cell_angle_gamma 120.00
_symmetry_space_group_name_H-M 'R -3 m'
_symmetry_Int_Tables_number 166
_symmetry_space_group_name_Hall '-R 3 2"'
loop_
_atom_site_label
_atom_site_type_symbol
_atom_site_fract_x
_atom_site_fract_y
_atom_site_fract_z
_atom_site_occupancy
Cr1 Cr 0.0000 0.0000 0.2225 1
P1 P 0.0000 0.0000 0.5000 1
Pb1 Pb 0.0000 0.0000 0.0000 1
```



Last place for stability: (a)